(1)
Compound: Sr3CdO4
Source: the Alexandria database
Functional: PBE
Structure: optimized geometry

Cell lengths 5.1097, 5.1097, 5.1097 Å; angles 90.00, 90.00, 90.00 degrees
Fractional positions:
Sr (0.0000, 0.0000, 0.5000)
Sr (0.0000, 0.5000, 0.0000)
Sr (0.5000, 0.0000, 0.0000)
Cd (0.5000, 0.5000, 0.5000)
O (0.0000, 0.0000, 0.0000)
O (0.0000, 0.5000, 0.5000)
O (0.5000, 0.0000, 0.5000)
O (0.5000, 0.5000, 0.0000)

Calculated values
**Magnetic moment**: 0.000 μB/cell
**Total energy**: -5.5089 eV/atom


(2)
Compound: HfPt3C
Source: the Alexandria database
Functional: PBE
Structure: optimized geometry

Cell lengths 4.2572, 4.2572, 4.2572 Å; angles 90.00, 90.00, 90.00 degrees
Fractional positions:
Hf (0.0000, 0.0000, 0.0000)
Pt (0.0000, 0.5000, 0.5000)
Pt (0.5000, 0.0000, 0.5000)
Pt (0.5000, 0.5000, 0.0000)
C (0.5000, 0.5000, 0.5000)

Calculated values
**Distance to the lowest polymorph of the same formula**: 0.00 kcal/mol of atoms
**Magnetic moment**: 0.000 μB/cell
**Energy relative to the elements**: 0.010 eV per atom
**Total energy**: -7.4504 eV/atom


(3)
Compound: PRuRh
Source: the Alexandria database
Functional: PBE
Structure: optimized geometry

Cell lengths 3.9732, 3.9732, 3.0192 Å; angles 90.00, 90.00, 120.00 degrees
Fractional positions:
P (0.0000, 0.0000, 0.0000)
Ru (0.3333, 0.6667, 0.7839)
Rh (0.6667, 0.3333, 0.2695)

Calculated values
**Magnetic moment**: 0.000 μB/cell
**Energy relative to the elements**: -0.227 eV per atom
**Total energy**: -7.5725 eV/atom


(4)
Compound: Y2InTe
Source: the Alexandria database
Functional: PBE
Structure: optimized geometry

Cell lengths 5.4204, 5.4204, 3.7825 Å; angles 90.00, 90.00, 101.40 degrees
Fractional positions:
Y (0.0000, 0.5000, 0.0000)
Y (0.5000, 0.0000, 0.0000)
In (0.0000, 0.0000, 0.5000)
Te (0.5000, 0.5000, 0.5000)

Calculated values
**Distance to the lowest polymorph of the same formula**: 5.43 kcal/mol of atoms
**Magnetic moment**: 0.000 μB/cell
**Total energy**: -5.4145 eV/atom


(5)
Compound: KNa2Cu
Source: the Alexandria database
Functional: PBE
Structure: optimized geometry

Cell lengths 12.2645, 12.2645, 12.2645 Å; angles 157.26, 157.26, 32.37 degrees
Fractional positions:
K (0.0000, 0.0000, 0.0000)
K (0.7500, 0.2500, 0.5000)
Na (0.1660, 0.6250, 0.0410)
Na (0.3750, 0.4160, 0.5410)
Na (0.5840, 0.1250, 0.9590)
Na (0.8750, 0.8340, 0.4590)
Cu (0.2500, 0.7500, 0.5000)
Cu (0.5000, 0.5000, 0.0000)

Calculated values
**Distance to the lowest polymorph of the same formula**: 1.04 kcal/mol of atoms
**Magnetic moment**: 0.000 μB/cell
**Energy relative to the elements**: 0.332 eV per atom
**Total energy**: -1.6256 eV/atom